Below is a geometry-optimized TlCdAg2 structure, with properties calculated at the PBE-GGA level.

## Properties
Total magnetization, μB/atom: 0.0000
Final energy, eV/atom: -2.188
Formation enthalpy at 0 K, kcal/mol of atoms: 1.3

Unit cell a=3.3850 b=3.7324 c=6.7785 alpha=90.00 beta=90.83 gamma=90.00
Sites, in units of the cell vectors:
Tl  0.0000  0.0000  0.0000
Cd  0.0000  0.0000  0.5000
Ag  0.4978  0.5000  0.2750
Ag  0.5022  0.5000  0.7250